No. 1
Computed, not measured: a relaxed structure of EuTl2Cd at the GGA-PBE level of DFT.

Values from the calculation:
crystal system = tetragonal
space-group type = P4/mmm
E above lowest polymorph = 87.8 meV/atom
E_tot = -4.17 eV per atom
total magnetization = 7.3 μB/f.u.

a b c (Å): 3.8738 3.8738 7.6382
angles (deg): 90.00 90.00 90.00
Fractional positions:
Eu 0.0000 0.0000 0.0000
Tl 0.5000 0.5000 0.2772
Tl 0.5000 0.5000 0.7228
Cd 0.0000 0.0000 0.5000


No. 2
Computed, not measured: a relaxed structure of CaSm4Hg4 at the GGA-PBE level of DFT.

Values from the calculation:
crystal system = tetragonal
space-group type = P4_2/n
E_tot = -2.70 eV per atom
total magnetization = 0.0 μB/f.u.

a b c (Å): 9.8945 9.8945 6.0944
angles (deg): 90.00 90.00 90.00
Fractional positions:
Ca 0.2500 0.2500 0.2500
Ca 0.7500 0.7500 0.7500
Sm 0.0907 0.6586 0.1565
Sm 0.1586 0.9093 0.6565
Sm 0.3414 0.5907 0.6565
Sm 0.4093 0.8414 0.1565
Sm 0.5907 0.1586 0.8435
Sm 0.6586 0.4093 0.3435
Sm 0.8414 0.0907 0.3435
Sm 0.9093 0.3414 0.8435
Hg 0.0244 0.6128 0.6580
Hg 0.1128 0.9756 0.1580
Hg 0.3872 0.5244 0.1580
Hg 0.4756 0.8872 0.6580
Hg 0.5244 0.1128 0.3420
Hg 0.6128 0.4756 0.8420
Hg 0.8872 0.0244 0.8420
Hg 0.9756 0.3872 0.3420


No. 3
Computed, not measured: a relaxed structure of Pu4IrBr5 at the GGA-PBE level of DFT.

Values from the calculation:
crystal system = triclinic
space-group type = P-1
ΔE_f (raw) = -1.0351 eV per atom
E_tot = -8.49 eV per atom
total magnetization = 0.3 μB/f.u.

a b c (Å): 3.5470 8.7902 9.9277
angles (deg): 72.18 84.53 86.18
Fractional positions:
Pu 0.0599 0.4710 0.2503
Pu 0.1922 0.2017 0.0562
Pu 0.8078 0.7983 0.9438
Pu 0.9401 0.5290 0.7497
Ir 0.5000 0.5000 0.0000
Br 0.2245 0.8364 0.1788
Br 0.3876 0.8328 0.6809
Br 0.5000 0.5000 0.5000
Br 0.6124 0.1672 0.3191
Br 0.7755 0.1636 0.8212


No. 4
Computed, not measured: a relaxed structure of Zr7Bi2TeH2 at the GGA-PBE level of DFT.

Values from the calculation:
crystal system = monoclinic
space-group type = C2/m
E_tot = -6.86 eV per atom
total magnetization = 0.0 μB/f.u.

a b c (Å): 4.3411 4.3411 12.7177
angles (deg): 97.82 97.82 89.77
Fractional positions:
Zr 0.0000 0.0000 0.0000
Zr 0.0732 0.5751 0.1863
Zr 0.1512 0.1512 0.3983
Zr 0.4249 0.9268 0.8137
Zr 0.5751 0.0732 0.1863
Zr 0.8488 0.8488 0.6017
Zr 0.9268 0.4249 0.8137
Bi 0.3552 0.3552 0.6342
Bi 0.6448 0.6448 0.3658
Te 0.5000 0.5000 0.0000
H 0.0697 0.0697 0.1737
H 0.9303 0.9303 0.8262


No. 5
Computed, not measured: a relaxed structure of BaCaRh3 at the GGA-PBE level of DFT.

Values from the calculation:
crystal system = cubic
space-group type = Pm-3m
E above lowest polymorph = 0.0 meV/atom
E_tot = -4.48 eV per atom
total magnetization = 1.1 μB/f.u.

a b c (Å): 5.0106 5.0106 5.0106
angles (deg): 90.00 90.00 90.00
Fractional positions:
Ba 0.0000 0.0000 0.0000
Ca 0.5000 0.5000 0.5000
Rh 0.0000 0.5000 0.5000
Rh 0.5000 0.0000 0.5000
Rh 0.5000 0.5000 0.0000


No. 6
Computed, not measured: a relaxed structure of Rb at the GGA-PBE level of DFT.

Values from the calculation:
crystal system = cubic
space-group type = I-43m
E above lowest polymorph = 14.1 meV/atom
E_tot = -0.95 eV per atom
total magnetization = 0.0 μB/f.u.

a b c (Å): 15.0241 15.0241 15.0241
angles (deg): 109.47 109.47 109.47
Fractional positions:
Rb 0.0000 0.0000 0.0000
Rb 0.0000 0.0000 0.6384
Rb 0.0000 0.1898 0.3744
Rb 0.0000 0.3744 0.1898
Rb 0.0000 0.4065 0.6834
Rb 0.0000 0.6384 0.0000
Rb 0.0000 0.6834 0.4065
Rb 0.1847 0.8102 0.8102
Rb 0.1898 0.0000 0.3744
Rb 0.1898 0.3744 0.0000
Rb 0.2769 0.5935 0.5935
Rb 0.3166 0.3166 0.7231
Rb 0.3166 0.7231 0.3166
Rb 0.3616 0.3616 0.3616
Rb 0.3744 0.0000 0.1898
Rb 0.3744 0.1898 0.0000
Rb 0.4065 0.0000 0.6834
Rb 0.4065 0.6834 0.0000
Rb 0.5935 0.2769 0.5935
Rb 0.5935 0.5935 0.2769
Rb 0.6256 0.6256 0.8153
Rb 0.6256 0.8153 0.6256
Rb 0.6384 0.0000 0.0000
Rb 0.6834 0.0000 0.4065
Rb 0.6834 0.4065 0.0000
Rb 0.7231 0.3166 0.3166
Rb 0.8102 0.1847 0.8102
Rb 0.8102 0.8102 0.1847
Rb 0.8153 0.6256 0.6256


No. 7
Computed, not measured: a relaxed structure of TlAgAs2 at the GGA-PBE level of DFT.

Values from the calculation:
crystal system = tetragonal
space-group type = P4/mmm
E above lowest polymorph = 238.4 meV/atom
E_tot = -3.26 eV per atom
total magnetization = 0.0 μB/f.u.

a b c (Å): 5.3399 5.3399 3.0702
angles (deg): 90.00 90.00 90.00
Fractional positions:
Tl 0.0000 0.0000 0.0000
Ag 0.5000 0.5000 0.0000
As 0.0000 0.5000 0.5000
As 0.5000 0.0000 0.5000


No. 8
Computed, not measured: a relaxed structure of TiCoSi2Os at the GGA-PBE level of DFT.

Values from the calculation:
crystal system = tetragonal
space-group type = P4/mmm
ΔE_f (raw) = 0.4516 eV per atom
E_tot = -6.96 eV per atom
total magnetization = 0.0 μB/f.u.

a b c (Å): 4.1847 4.1847 4.3287
angles (deg): 90.00 90.00 90.00
Fractional positions:
Ti 0.0000 0.0000 0.0000
Co 0.0000 0.0000 0.5000
Si 0.0000 0.5000 0.5000
Si 0.5000 0.0000 0.5000
Os 0.5000 0.5000 0.0000


No. 9
Computed, not measured: a relaxed structure of Ce2BeSiPt6 at the GGA-PBE level of DFT.

Values from the calculation:
crystal system = monoclinic
space-group type = C2/m
ΔE_f (raw) = -0.8630 eV per atom
E_tot = -6.59 eV per atom
total magnetization = 1.4 μB/f.u.

a b c (Å): 5.7450 5.7450 7.2350
angles (deg): 113.49 113.49 59.96
Fractional positions:
Ce 0.2159 0.2159 0.1474
Ce 0.7841 0.7841 0.8526
Be 0.0000 0.0000 0.5000
Si 0.5000 0.5000 0.0000
Pt 0.2419 0.2419 0.7123
Pt 0.2415 0.7287 0.7124
Pt 0.2713 0.7585 0.2876
Pt 0.7287 0.2415 0.7124
Pt 0.7585 0.2713 0.2876
Pt 0.7581 0.7581 0.2877


No. 10
Computed, not measured: a relaxed structure of Fe2CoW at the GGA-PBE level of DFT.

Values from the calculation:
crystal system = trigonal
space-group type = R3m
E above lowest polymorph = 232.4 meV/atom
E_tot = -8.99 eV per atom
total magnetization = 5.9 μB/f.u.

a b c (Å): 8.3991 8.3991 8.3991
angles (deg): 18.39 18.39 18.39
Fractional positions:
Fe 0.0000 0.0000 0.0000
Fe 0.2553 0.2553 0.2553
Co 0.7449 0.7449 0.7449
W 0.4994 0.4994 0.4994


What is the E_tot in the fifth record?
-4.48 eV per atom


Which formula does entry 1 have?
EuTl2Cd


Number 2 is which compound?
CaSm4Hg4